VASP calculation (PBE-GGA) on a relaxed structure of LaBe2Si.

Output
The calculation puts the spin magnetization at 0.000 μB/f.u. For the formation energy from raw total energies, the calculation gives 75 meV per atom.

abc: 4.701 4.701 4.701
angles: 130.55 108.02 92.33
Atoms (fractional coordinates):
La: 0.000 0.000 0.000
Be: 0.333 0.833 0.500
Be: 0.667 0.167 0.500
Si: 0.500 0.500 0.000